# 1
LaY, PBEsol geometry, DFT meta-GGA SCAN; total magnetization = 0.1 μB/f.u.; relative energy among the computed polymorphs = 0.0393 eV per atom; E_form = 5.2 kJ/mol of atoms
1.0
-0.0010 3.1155 1.8143
-1.7223 -0.2478 -3.1577
-4.8266 -1.6080 2.7587
Y La
1 1
direct
0.6667 0.3333 0.5000 Y
0.0000 0.0000 0.0000 La


# 2
MgIr2Ru, PBEsol geometry, DFT meta-GGA SCAN; total magnetization = 0.0 μB/f.u.; E_form = -12.9 kJ/mol of atoms
1.0
3.8088 0.0000 0.0000
0.0000 3.8088 0.0000
-1.9044 -1.9044 3.8996
Ir Mg Ru
2 1 1
direct
0.0000 0.0000 0.0000 Ir
0.7500 0.2500 0.5000 Ir
0.5000 0.5000 0.0000 Mg
0.2500 0.7500 0.5000 Ru


# 3
K2AgHg, PBEsol geometry, DFT meta-GGA SCAN; total magnetization = 0.1 μB/f.u.; E_form = -5.9 kJ/mol of atoms
1.0
3.8413 0.0000 0.0000
0.0000 3.8413 0.0000
0.0000 0.0000 9.6005
K Hg Ag
2 1 1
direct
0.0000 0.0000 0.9148 K
0.5000 0.5000 0.3322 K
0.5000 0.5000 0.6786 Hg
0.0000 0.0000 0.5743 Ag


# 4
Cd2PtW, PBEsol geometry, DFT meta-GGA SCAN; total magnetization = 0.0 μB/f.u.; relative energy among the computed polymorphs = 0.0675 eV per atom; E_form = 52.9 kJ/mol of atoms
1.0
-1.5500 1.7737 -1.5540
-4.0301 -2.6652 0.9778
-0.8531 2.7564 3.9970
W Pt Cd
1 1 2
direct
0.5000 0.0000 0.0000 W
0.5000 0.5000 0.5000 Pt
0.0000 0.0000 0.5000 Cd
0.0000 0.5000 0.0000 Cd


# 5
SrBe2As, PBEsol geometry, DFT meta-GGA SCAN; total magnetization = 0.0 μB/f.u.; E_form = -20.3 kJ/mol of atoms
1.0
3.8469 0.0000 0.0000
0.0000 4.4646 0.0000
0.0000 0.0000 4.6365
Sr As Be
1 1 2
direct
0.5000 0.5000 0.5000 Sr
0.5000 0.0000 0.0000 As
0.0000 0.7363 0.0000 Be
0.0000 0.2637 0.0000 Be


# 6
Er3TaO7, PBEsol geometry, DFT meta-GGA SCAN; total magnetization = 0.0 μB/f.u.; relative energy among the computed polymorphs = 0.0000 eV per atom; E_form (uncorrected) = -3.760 eV/atom
1.0
-1.4250 -5.3777 -2.8402
4.7866 -0.0471 -4.1826
5.7613 -3.3372 3.3483
Er Ta O
6 2 14
direct
0.2643 0.4608 0.8848 Er
0.2664 0.4551 0.3918 Er
0.4542 0.9925 0.2500 Er
0.5458 0.0075 0.7500 Er
0.7336 0.5449 0.6082 Er
0.7357 0.5392 0.1152 Er
0.0000 0.0000 0.0000 Ta
0.0000 0.0000 0.5000 Ta
0.2941 0.0708 0.5179 O
0.0794 0.6746 0.0491 O
0.2948 0.0741 0.9476 O
0.0740 0.6650 0.6096 O
0.0943 0.9501 0.2631 O
0.4446 0.3476 0.1657 O
0.4598 0.3619 0.6585 O
0.5402 0.6381 0.3415 O
0.5554 0.6524 0.8343 O
0.9057 0.0499 0.7369 O
0.9260 0.3350 0.3904 O
0.7052 0.9259 0.0524 O
0.9206 0.3254 0.9509 O
0.7059 0.9292 0.4821 O


# 7
LiRe2Se, PBEsol geometry, DFT meta-GGA SCAN; total magnetization = 0.0 μB/f.u.; E_form (uncorrected) = 0.796 eV/atom
1.0
3.0762 0.0000 0.0000
0.0000 4.1593 0.0000
0.0000 0.0000 4.1593
Li Re Se
1 2 1
direct
0.5000 0.0000 0.0000 Li
0.0000 0.0000 0.5000 Re
0.0000 0.5000 0.0000 Re
0.5000 0.5000 0.5000 Se


# 8
Si2NiAg, PBEsol geometry, DFT meta-GGA SCAN; total magnetization = 0.0 μB/f.u.; relative energy among the computed polymorphs = 0.1045 eV per atom; E_form (uncorrected) = 0.241 eV/atom
1.0
2.9289 0.0000 -0.0033
0.0000 4.0547 0.0000
-0.5333 0.0000 4.8188
Ag Ni Si
1 1 2
direct
0.5000 0.5000 0.5000 Ag
0.0000 0.5000 0.0000 Ni
0.7077 0.0000 0.7997 Si
0.2923 0.0000 0.2003 Si


total magnetization of number 8 (Si2NiAg)? 0.0 μB/f.u.


Number 6 is which compound? Er3TaO7